Entry 1:
CsTlRe3 after structural relaxation, computed with PBE.

Cell lengths 5.1537, 5.1537, 5.1537 Å; angles 90.00, 90.00, 90.00 degrees
Space group Pm-3m (No. 221)
One atom of each set of equivalent atoms:
1 Cs 0.0000 0.0000 0.0000 x1
2 Tl 0.5000 0.5000 0.5000 x1
3 Re 0.0000 0.5000 0.5000 x3

Summary:
E above lowest polymorph: 0.000 eV per formula unit

Entry 2:
Cs2TlRe after structural relaxation, computed with PBE.

Cell lengths 8.4156, 8.4156, 8.4156 Å; angles 90.00, 90.00, 90.00 degrees
Space group Fm-3m (No. 225)
One atom of each set of equivalent atoms:
1 Cs 0.2500 0.2500 0.2500 x8
2 Tl 0.0000 0.0000 0.0000 x4
3 Re 0.0000 0.0000 0.5000 x4

no.,density (Mg/m³),Fermi-level density of states (states/eV/f.u.),formation enthalpy at 0 K (eV/atom)
1,10.9,10.426,3.275
2,7.3,3.268,1.539